Ho11Tm9Th4 | GGA-PBE | optimized geometry

## Properties
Calculated formation energy, meV/atom: 78
Raw total energy, eV per atom: -4.934
Space-group type: Cmmm
Total magnetic moment, μB/atom: 0.00

a = 3.550 Å, b = 15.346 Å, c = 15.346 Å
α = 116.23°, β = 90.00°, γ = 90.00°
Atoms (fractional coordinates):
Th: 0.500 0.755 0.585
Tm: 0.500 0.203 0.014
Ho: 0.000 0.377 0.623
Ho: 0.000 0.211 0.211
Tm: 0.500 0.014 0.203
Th: 0.500 0.245 0.415
Ho: 0.000 0.623 0.377
Ho: 0.000 0.033 0.404
Th: 0.500 0.585 0.755
Th: 0.500 0.415 0.245
Tm: 0.500 0.175 0.611
Ho: 0.000 0.967 0.596
Ho: 0.000 0.596 0.967
Tm: 0.500 0.500 0.500
Ho: 0.000 0.404 0.033
Tm: 0.500 0.389 0.825
Tm: 0.500 0.986 0.797
Tm: 0.500 0.825 0.389
Tm: 0.500 0.797 0.986
Ho: 0.000 0.789 0.789
Ho: 0.000 0.188 0.812
Tm: 0.500 0.611 0.175
Ho: 0.000 0.000 0.000
Ho: 0.000 0.812 0.188